No. 1
Here is an optimized crystal structure of Rb4TlHg3F12 from Alexandria. Energies are from GGA-PBE.

Lattice parameters (Å, degrees): 9.290 9.290 9.290 90.00 90.00 90.00
Space group Im-3m (No. 229)
Asymmetric unit:
Rb1 0.250 0.250 0.250 [8 per cell]
Tl1 0.000 0.000 0.000 [2 per cell]
Hg1 0.000 0.000 0.500 [6 per cell]
F1 0.000 0.000 0.247 [12 per cell]
F2 0.000 0.250 0.500 [12 per cell]

Calculated values
- Fermi-level density of states: 0.15 states/eV/atom
- Total DFT energy (no corrections): -0.129 hartree per atom
- Energy relative to the elements, uncorrected: -2.0310 eV/atom

=====

No. 2
Here is an optimized crystal structure of Rb2TmHgF6 from Alexandria. Energies are from GGA-PBE.

Lattice parameters (Å, degrees): 6.541 9.381 6.910 90.00 90.00 90.00
Space group Pmmn (No. 59, origin choice 2)
Asymmetric unit:
Rb1 0.250 0.017 0.216 [4 per cell]
Tm1 0.250 0.750 0.777 [2 per cell]
Hg1 0.250 0.250 0.720 [2 per cell]
F1 0.007 0.750 0.572 [4 per cell]
F2 0.021 0.750 0.001 [4 per cell]
F3 0.250 0.522 0.795 [4 per cell]

Calculated values
- Fermi-level density of states: 0.19 states/eV/atom
- Total DFT energy (no corrections): -0.173 hartree per atom
- Energy relative to the elements, uncorrected: -2.9027 eV/atom

=====

No. 3
Here is an optimized crystal structure of RbTmHg2F8 from Alexandria. Energies are from GGA-PBE.

Lattice parameters (Å, degrees): 4.119 5.759 8.644 85.31 89.96 89.93
Space group P-1 (No. 2)
Asymmetric unit:
Rb1 0.000 0.000 0.000 [1 per cell]
Tm1 0.000 0.000 0.500 [1 per cell]
Hg1 0.500 0.482 0.268 [2 per cell]
F1 0.000 0.227 0.280 [2 per cell]
F2 0.000 0.267 0.663 [2 per cell]
F3 0.500 0.210 0.466 [2 per cell]
F4 0.500 0.289 0.932 [2 per cell]

Calculated values
- Fermi-level density of states: 0.00 states/eV/atom
- Total DFT energy (no corrections): -0.157 hartree per atom
- Energy relative to the elements, uncorrected: -2.5334 eV/atom